Arrangement one

Below is a relaxed structure of ScCr2Re, with properties calculated at the GGA-PBE level.

The value obtained for the total magnetization is 1.79 μB per cell.

Geometry as POSCAR:
```
ScCr2Re
1.0
4.3703 0.0000 0.0000
0.0000 4.3703 0.0000
0.0000 0.0000 3.0325
Sc Cr Re
1 2 1
Direct
0.0000 0.5000 0.5000
0.0000 0.0000 0.0000
0.5000 0.5000 0.0000
0.5000 0.0000 0.5000
```

=====

Arrangement two

Below is a relaxed structure of ScCr2Re, with properties calculated at the GGA-PBE level.

The value obtained for the total magnetization is 0.87 μB per cell.

Geometry as POSCAR:
```
ScCr2Re
1.0
3.0338 0.0000 0.0000
0.0000 3.0338 0.0000
0.0000 0.0000 6.4309
Re Sc Cr
1 1 2
Direct
0.5000 0.5000 0.2500
0.5000 0.5000 0.7500
0.0000 0.0000 0.4698
0.0000 0.0000 0.0302
```

=====

Preferred: arrangement two; penalty for the next structure: 48 meV per atom.

=====

Arrangement one

Below is a relaxed structure of ScCr2Re, with properties calculated at the GGA-PBE level.

The value obtained for the total magnetization is 0.00 μB per cell.

Geometry as POSCAR:
```
ScCr2Re
1.0
4.2644 0.0000 0.0000
0.0000 2.7183 -0.0020
0.0000 0.9126 4.9648
Cr Re Sc
2 1 1
Direct
0.5000 0.2437 0.2505
0.0000 0.0245 0.0046
0.0000 0.4784 0.4850
0.5000 0.7534 0.7598
```

=====

Arrangement two

Below is a relaxed structure of ScCr2Re, with properties calculated at the GGA-PBE level.

The value obtained for the total magnetization is 0.00 μB per cell.

Geometry as POSCAR:
```
ScCr2Re
1.0
2.8948 0.0000 0.0000
0.0000 4.0174 0.0000
0.0000 0.0000 5.4309
Re Cr Sc
1 2 1
Direct
0.5000 0.5000 0.2500
0.0000 0.0000 0.0656
0.0000 0.0000 0.4344
0.5000 0.5000 0.7500
```

=====

Arrangement three

Below is a relaxed structure of ScCr2Re, with properties calculated at the GGA-PBE level.

The value obtained for the total magnetization is 0.07 μB per cell.

Geometry as POSCAR:
```
ScCr2Re
1.0
-1.7874 0.8658 -1.6962
-2.9064 0.5365 3.3366
1.6438 4.7140 0.6739
Cr Sc Re
2 1 1
Direct
0.0000 0.0000 0.9953
0.5000 0.5000 0.2577
0.5000 0.5000 0.7625
0.0000 0.0000 0.4846
```

=====

Preferred: arrangement one; penalty for the next structure: 168 meV per atom.

=====

Arrangement one

Below is a relaxed structure of ScCr2Re, with properties calculated at the GGA-PBE level.

The value obtained for the total magnetization is 0.00 μB per cell.

Geometry as POSCAR:
```
ScCr2Re
1.0
-8.5789 1.0774 0.3420
-8.4590 -1.7540 0.4944
-8.1692 -0.1929 2.8466
Sc Re Cr
1 1 2
Direct
0.7465 0.7465 0.7465
0.5089 0.5089 0.5089
0.9884 0.9884 0.9884
0.2562 0.2562 0.2562
```

=====

Arrangement two

Below is a relaxed structure of ScCr2Re, with properties calculated at the GGA-PBE level.

The value obtained for the total magnetization is 0.00 μB per cell.

Geometry as POSCAR:
```
ScCr2Re
1.0
-3.5853 -3.3358 -1.1079
4.6606 -1.3036 -1.3371
0.5124 -1.8716 1.8404
Cr Sc Re
2 1 1
Direct
0.5000 0.5000 0.0000
0.0000 0.0000 0.0000
0.0000 0.5000 0.5000
0.5000 0.0000 0.5000
```

=====

Arrangement three

Below is a relaxed structure of ScCr2Re, with properties calculated at the GGA-PBE level.

The value obtained for the total magnetization is 0.00 μB per cell.

Geometry as POSCAR:
```
ScCr2Re
1.0
2.6999 0.0009 0.0000
-0.9380 2.5318 0.0000
0.0000 0.0000 8.6007
Cr Re Sc
2 1 1
Direct
0.0000 0.0000 0.0179
0.0000 0.0000 0.4821
0.5000 0.5000 0.2500
0.5000 0.5000 0.7500
```

=====

Arrangement four

Below is a relaxed structure of ScCr2Re, with properties calculated at the GGA-PBE level.

The value obtained for the total magnetization is 1.58 μB per cell.

Geometry as POSCAR:
```
ScCr2Re
1.0
-1.1909 4.1934 0.3285
-1.0311 0.0368 -4.2481
-1.7734 -2.9885 2.6523
Cr Sc Re
2 1 1
Direct
0.2500 0.7500 0.5000
0.0000 0.0000 0.0000
0.7500 0.2500 0.5000
0.5000 0.5000 0.0000
```

=====

Preferred: arrangement four; penalty for the next structure: 44 meV per atom.

=====

Arrangement one

Below is a relaxed structure of ScCrRe, with properties calculated at the GGA-PBE level.

The value obtained for the total magnetization is 0.02 μB per cell.

Geometry as POSCAR:
```
ScCrRe
1.0
4.6972 -0.0022 0.0072
1.7297 4.3672 -0.0072
-2.4793 -3.2634 2.2950
Cr Sc Re
1 1 1
Direct
0.0075 0.0075 0.0000
0.6673 0.6673 0.0000
0.3252 0.3252 0.0000
```

=====

Arrangement two

Below is a relaxed structure of ScCrRe, with properties calculated at the GGA-PBE level.

The value obtained for the total magnetization is 2.26 μB per cell.

Geometry as POSCAR:
```
ScCrRe
1.0
-0.1896 -2.8571 3.3206
2.8276 0.3244 3.3353
-1.4013 1.3107 3.9425
Sc Re Cr
1 1 1
Direct
0.2500 0.2500 0.2500
0.5000 0.5000 0.5000
0.0000 0.0000 0.0000
```

=====

Arrangement three

Below is a relaxed structure of ScCrRe, with properties calculated at the GGA-PBE level.

The value obtained for the total magnetization is 0.00 μB per cell.

Geometry as POSCAR:
```
ScCrRe
1.0
6.9648 -0.0009 0.0007
6.2171 2.6611 0.0101
0.7477 -0.8413 2.5256
Sc Re Cr
1 1 1
Direct
0.3358 0.3358 0.6642
0.6543 0.6543 0.3457
0.0099 0.0099 0.9901
```

=====

Arrangement four

Below is a relaxed structure of ScCrRe, with properties calculated at the GGA-PBE level.

The value obtained for the total magnetization is 0.00 μB per cell.

Geometry as POSCAR:
```
ScCrRe
1.0
5.1480 0.0100 0.0713
-2.5026 4.4988 -0.0713
2.5629 1.5268 4.1962
Sc Re Cr
2 2 2
Direct
0.2500 0.1253 0.6247
0.7500 0.8747 0.3753
0.5000 0.0000 0.0000
0.0000 0.5000 0.0000
0.5000 0.5000 0.0000
0.0000 0.5000 0.5000
```

=====

Preferred: arrangement four; penalty for the next structure: 387 meV per atom.

=====

Arrangement one

Below is a relaxed structure of ScCrRe2, with properties calculated at the GGA-PBE level.

The value obtained for the total magnetization is 0.01 μB per cell.

Geometry as POSCAR:
```
ScCrRe2
1.0
-4.1766 0.1685 -1.3573
-1.1383 -1.8142 -3.8376
-2.4387 -3.6556 -0.0650
Re Cr Sc
2 1 1
Direct
0.7500 0.7500 0.7500
0.0000 0.0000 0.0000
0.5000 0.5000 0.5000
0.2500 0.2500 0.2500
```

=====

Arrangement two

Below is a relaxed structure of ScCrRe2, with properties calculated at the GGA-PBE level.

The value obtained for the total magnetization is 0.81 μB per cell.

Geometry as POSCAR:
```
ScCrRe2
1.0
3.0940 0.0000 0.0000
0.0000 4.4541 0.0000
0.0000 0.0000 4.4074
Sc Re Cr
1 2 1
Direct
0.5000 0.0000 0.5000
0.5000 0.5000 0.0000
0.0000 0.0000 0.0000
0.0000 0.5000 0.5000
```

=====

Arrangement three

Below is a relaxed structure of ScCrRe2, with properties calculated at the GGA-PBE level.

The value obtained for the total magnetization is 0.00 μB per cell.

Geometry as POSCAR:
```
ScCrRe2
1.0
4.3566 0.0000 0.0000
0.0000 2.7461 -0.0045
0.0000 0.8676 5.0539
Re Cr Sc
2 1 1
Direct
0.0000 0.5222 0.5061
0.0000 0.9778 0.9939
0.5000 0.7500 0.7500
0.5000 0.2500 0.2500
```

=====

Preferred: arrangement one; penalty for the next structure: 78 meV per atom.

=====

Arrangement one

Below is a relaxed structure of ScCrRe2, with properties calculated at the GGA-PBE level.

The value obtained for the total magnetization is 2.96 μB per cell.

Geometry as POSCAR:
```
ScCrRe2
1.0
4.4824 0.0000 0.0000
0.0000 3.7738 0.0000
0.0000 0.0000 3.7738
Re Sc Cr
2 1 1
Direct
0.0000 0.0000 0.0000
0.0000 0.5000 0.5000
0.5000 0.5000 0.0000
0.5000 0.0000 0.5000
```

=====

Arrangement two

Below is a relaxed structure of ScCrRe2, with properties calculated at the GGA-PBE level.

The value obtained for the total magnetization is 0.00 μB per cell.

Geometry as POSCAR:
```
ScCrRe2
1.0
9.0653 0.0220 0.0129
8.6193 2.8085 0.0129
8.6193 1.3796 2.4464
Re Sc Cr
2 1 1
Direct
0.4926 0.4926 0.4926
0.0074 0.0074 0.0074
0.2500 0.2500 0.2500
0.7500 0.7500 0.7500
```

=====

Preferred: arrangement two; penalty for the next structure: 70 meV per atom.